1.
Density functional theory data (GGA-PBE) for a relaxed Zn2TeAu crystal.

a = 3.771 Å, b = 3.771 Å, c = 5.663 Å
α = 90.00°, β = 90.00°, γ = 90.00°
Sites, in units of the cell vectors:
Zn 0.000 0.000 0.233
Zn 0.000 0.000 0.767
Te 0.500 0.500 0.500
Au 0.500 0.500 0.000

Output
The value obtained for the total energy is -2.17 eV/atom. As for the symmetry: No. 123. The value obtained for the uncorrected formation energy is 0.07 eV/atom. Its crystal system is tetragonal.

=====

2.
Density functional theory data (GGA-PBE) for a relaxed Ba4Sn5Bi6 crystal.

a = 11.648 Å, b = 11.648 Å, c = 20.285 Å
α = 90.00°, β = 90.00°, γ = 155.26°
Sites, in units of the cell vectors:
Ba 0.041 0.959 0.500
Ba 0.059 0.941 0.782
Ba 0.154 0.846 0.286
Ba 0.160 0.840 0.000
Ba 0.840 0.160 0.500
Ba 0.846 0.154 0.786
Ba 0.941 0.059 0.282
Ba 0.959 0.041 0.000
Sn 0.162 0.838 0.618
Sn 0.321 0.679 0.324
Sn 0.331 0.669 0.005
Sn 0.347 0.653 0.642
Sn 0.454 0.546 0.728
Sn 0.546 0.454 0.228
Sn 0.653 0.347 0.142
Sn 0.669 0.331 0.505
Sn 0.679 0.321 0.824
Sn 0.838 0.162 0.118
Bi 0.061 0.939 0.136
Bi 0.231 0.769 0.745
Bi 0.235 0.765 0.442
Bi 0.427 0.573 0.136
Bi 0.428 0.572 0.880
Bi 0.439 0.561 0.418
Bi 0.561 0.439 0.918
Bi 0.572 0.428 0.380
Bi 0.573 0.427 0.636
Bi 0.765 0.235 0.942
Bi 0.769 0.231 0.245
Bi 0.939 0.061 0.636

Output
The value obtained for the total energy is -3.83 eV/atom. The calculation puts the formation energy at -0.431 eV/atom. As for the symmetry: No. 36. Its crystal system is orthorhombic.

=====

3.
Density functional theory data (GGA-PBE) for a relaxed K2RhAu2 crystal.

a = 6.930 Å, b = 6.930 Å, c = 5.356 Å
α = 90.00°, β = 90.00°, γ = 90.00°
Sites, in units of the cell vectors:
K 0.178 0.322 0.000
K 0.322 0.822 0.000
K 0.678 0.178 0.000
K 0.822 0.678 0.000
Rh 0.000 0.000 0.500
Rh 0.500 0.500 0.500
Au 0.141 0.641 0.500
Au 0.359 0.141 0.500
Au 0.641 0.859 0.500
Au 0.859 0.359 0.500

Output
The value obtained for the total energy is -3.14 eV/atom. Its energy relative to the lowest polymorph listed for this composition is 0.000 eV per atom. The calculation puts the formation energy at 0.077 eV/atom. As for the symmetry: No. 127. Its crystal system is tetragonal.

=====

4.
Density functional theory data (GGA-PBE) for a relaxed BaBeP2 crystal.

a = 3.655 Å, b = 4.633 Å, c = 5.662 Å
α = 90.00°, β = 90.00°, γ = 90.00°
Sites, in units of the cell vectors:
Ba 0.000 0.000 0.000
Be 0.000 0.500 0.500
P 0.500 0.500 0.286
P 0.500 0.500 0.714

Output
The value obtained for the total energy is -4.54 eV/atom. Its energy relative to the lowest polymorph listed for this composition is 0.170 eV per atom. The calculation puts the formation energy at -0.422 eV/atom. As for the symmetry: No. 47. Its crystal system is orthorhombic.

=====

5.
Density functional theory data (GGA-PBE) for a relaxed CaPAuS2 crystal.

a = 5.071 Å, b = 5.071 Å, c = 4.607 Å
α = 90.00°, β = 90.00°, γ = 90.00°
Sites, in units of the cell vectors:
Ca 0.000 0.000 0.000
P 0.500 0.500 0.000
Au 0.500 0.500 0.500
S 0.000 0.500 0.500
S 0.500 0.000 0.500

Output
The value obtained for the total energy is -3.85 eV/atom. Its energy relative to the lowest polymorph listed for this composition is 0.000 eV per atom. As for the symmetry: No. 123. The value obtained for the uncorrected formation energy is -0.07 eV/atom. Its crystal system is tetragonal.

=====

6.
Density functional theory data (GGA-PBE) for a relaxed CaIr crystal.

a = 7.691 Å, b = 7.691 Å, c = 7.691 Å
α = 94.83°, β = 94.83°, γ = 146.28°
Sites, in units of the cell vectors:
Ca 0.000 0.263 0.263
Ca 0.000 0.737 0.737
Ca 0.263 0.000 0.263
Ca 0.737 0.000 0.737
Ir 0.278 0.278 0.557
Ir 0.278 0.722 0.000
Ir 0.722 0.278 0.000
Ir 0.722 0.722 0.443

Output
The value obtained for the total energy is -5.53 eV/atom. The calculation puts the formation energy at -0.102 eV/atom. As for the symmetry: No. 139. Its crystal system is tetragonal.

=====

7.
Density functional theory data (GGA-PBE) for a relaxed TaAl2Zn crystal.

a = 9.156 Å, b = 9.156 Å, c = 9.156 Å
α = 18.42°, β = 18.42°, γ = 18.42°
Sites, in units of the cell vectors:
Ta 0.000 0.000 0.000
Al 0.502 0.502 0.502
Al 0.751 0.751 0.751
Zn 0.248 0.248 0.248

Output
The value obtained for the total energy is -5.18 eV/atom. The calculation puts the formation energy at -0.030 eV/atom. As for the symmetry: No. 160. Its crystal system is trigonal.

=====

8.
Density functional theory data (GGA-PBE) for a relaxed NbCr crystal.

a = 5.052 Å, b = 5.052 Å, c = 5.100 Å
α = 90.00°, β = 90.00°, γ = 90.00°
Sites, in units of the cell vectors:
Nb 0.211 0.211 0.000
Nb 0.289 0.711 0.500
Nb 0.711 0.289 0.500
Nb 0.789 0.789 0.000
Cr 0.198 0.198 0.500
Cr 0.302 0.698 0.000
Cr 0.698 0.302 0.000
Cr 0.802 0.802 0.500

Output
The value obtained for the total energy is -9.02 eV/atom. The calculation puts the formation energy at 0.825 eV/atom. As for the symmetry: No. 136. Its crystal system is tetragonal.

=====

9.
Density functional theory data (GGA-PBE) for a relaxed NaNd2Hg crystal.

a = 5.407 Å, b = 5.407 Å, c = 4.055 Å
α = 90.00°, β = 90.00°, γ = 90.00°
Sites, in units of the cell vectors:
Na 0.000 0.000 0.000
Nd 0.000 0.500 0.500
Nd 0.500 0.000 0.500
Hg 0.500 0.500 0.000

Output
The value obtained for the total energy is -2.88 eV/atom. Its energy relative to the lowest polymorph listed for this composition is 0.010 eV per atom. The calculation puts the formation energy at -0.087 eV/atom. As for the symmetry: No. 123. Its crystal system is tetragonal.

=====

10.
Density functional theory data (GGA-PBE) for a relaxed La3Be4 crystal.

a = 6.830 Å, b = 6.830 Å, c = 4.262 Å
α = 90.00°, β = 90.00°, γ = 120.00°
Sites, in units of the cell vectors:
La 0.000 0.500 0.000
La 0.500 0.000 0.000
La 0.500 0.500 0.000
Be 0.000 0.000 0.248
Be 0.000 0.000 0.752
Be 0.333 0.667 0.500
Be 0.667 0.333 0.500

Output
The value obtained for the total energy is -3.50 eV/atom. Its energy relative to the lowest polymorph listed for this composition is 0.398 eV per atom. The calculation puts the formation energy at 0.746 eV/atom. As for the symmetry: No. 191. Its crystal system is hexagonal.

=====

11.
Density functional theory data (GGA-PBE) for a relaxed Al2InTc crystal.

a = 3.453 Å, b = 3.453 Å, c = 5.621 Å
α = 90.00°, β = 90.00°, γ = 90.00°
Sites, in units of the cell vectors:
Al 0.000 0.000 0.000
Al 0.500 0.500 0.251
In 0.000 0.000 0.520
Tc 0.500 0.500 0.799

Output
The value obtained for the total energy is -5.24 eV/atom. The calculation puts the formation energy at -0.093 eV/atom. As for the symmetry: No. 99. Its crystal system is tetragonal.

=====

12.
Density functional theory data (GGA-PBE) for a relaxed GdLuScTl crystal.

a = 5.340 Å, b = 5.340 Å, c = 5.340 Å
α = 60.00°, β = 60.00°, γ = 60.00°
Sites, in units of the cell vectors:
Gd 0.000 0.000 0.000
Lu 0.500 0.500 0.500
Sc 0.750 0.750 0.750
Tl 0.250 0.250 0.250

Output
The value obtained for the total energy is -6.88 eV/atom. The calculation puts the formation energy at -0.051 eV/atom. As for the symmetry: No. 216. Its crystal system is cubic.

=====

Copy entry 11 word for word.
Density functional theory data (GGA-PBE) for a relaxed Al2InTc crystal.

a = 3.453 Å, b = 3.453 Å, c = 5.621 Å
α = 90.00°, β = 90.00°, γ = 90.00°
Sites, in units of the cell vectors:
Al 0.000 0.000 0.000
Al 0.500 0.500 0.251
In 0.000 0.000 0.520
Tc 0.500 0.500 0.799

Output
The value obtained for the total energy is -5.24 eV/atom. The calculation puts the formation energy at -0.093 eV/atom. As for the symmetry: No. 99. Its crystal system is tetragonal.